Compound: Sr2MoH
Source: the Alexandria database
Functional: PBE
Structure: relaxed

- D(E_F) (states/eV per cell) = 4.378
- E above lowest polymorph (kJ/mol of atoms) = 29.0
- VASP energy (eV/atom) = -3.327

```
4
Lattice="0.0000 3.8501 3.8501 3.8501 0.0000 3.8501 3.8501 3.8501 0.0000" Properties=species:S:1:pos:R:3 pbc="T T T"
Sr 1.9250 1.9250 1.9250
Sr 5.7751 5.7751 5.7751
Mo 0.0000 0.0000 0.0000
H 3.8501 3.8501 3.8501
```

***

Compound: Sr5CeHg6
Source: the Alexandria database
Functional: PBE
Structure: relaxed

- D(E_F) (states/eV per cell) = 14.320
- energy relative to the elements (kJ per mole of atoms) = -47
- VASP energy (eV/atom) = -1.836

```
12
Lattice="2.8023 -8.4252 0.0000 2.8023 8.4252 0.0000 0.0000 0.0000 8.0027" Properties=species:S:1:pos:R:3 pbc="T T T"
Sr 0.0000 0.0000 0.0000
Sr 2.8023 2.8317 4.0013
Sr 2.8023 2.8112 0.0000
Sr 2.8023 -2.8112 0.0000
Sr 2.8023 -2.8317 4.0013
Ce 0.0000 0.0000 4.0013
Hg 2.8023 5.7169 2.0519
Hg 2.8023 5.7169 5.9508
Hg 2.8023 0.0000 2.1336
Hg 2.8023 0.0000 5.8691
Hg 2.8023 -5.7169 2.0519
Hg 2.8023 -5.7169 5.9508
```

***

Compound: RbNaTcRh2
Source: the Alexandria database
Functional: PBE
Structure: relaxed

- D(E_F) (states/eV per cell) = 4.158
- energy relative to the elements (kJ per mole of atoms) = 76
- VASP energy (eV/atom) = -4.681

```
5
Lattice="4.7199 0.0000 0.0000 0.0000 4.7199 0.0000 0.0000 0.0000 5.6507" Properties=species:S:1:pos:R:3 pbc="T T T"
Rb 0.0000 0.0000 0.0000
Na 2.3600 2.3600 0.0000
Tc 2.3600 2.3600 2.8254
Rh 0.0000 2.3600 2.8254
Rh 2.3600 0.0000 2.8254
```

***

Compound: Tb5Tm2ThSc
Source: the Alexandria database
Functional: PBE
Structure: relaxed

- D(E_F) (states/eV per cell) = 24.805
- energy relative to the elements (kJ per mole of atoms) = 16
- VASP energy (eV/atom) = -4.927

```
18
Lattice="2.8205 -10.8524 0.0000 2.8205 10.8524 0.0000 0.0000 0.0000 9.4072" Properties=species:S:1:pos:R:3 pbc="T T T"
Tb 2.8205 10.5589 4.7036
Tb 2.8205 4.9887 7.6024
Tb 2.8205 4.2831 1.9241
Tb 2.8205 2.2424 4.9960
Tb 2.8205 0.6623 2.2013
Tb 2.8205 -0.6623 6.9050
Tb 2.8205 -2.2424 0.2924
Tb 2.8205 -4.2831 6.6278
Tb 2.8205 -4.9887 2.8988
Tb 2.8205 -10.5589 0.0000
Tm 2.8205 8.3340 7.6169
Tm 2.8205 7.9941 1.8502
Tm 2.8205 -7.9941 6.5538
Tm 2.8205 -8.3340 2.9133
Th 2.8205 2.1402 8.5737
Th 2.8205 -2.1402 3.8701
Sc 2.8205 6.7783 4.7114
Sc 2.8205 -6.7783 0.0078
```

***

Compound: TcPd3S
Source: the Alexandria database
Functional: PBE
Structure: relaxed

- D(E_F) (states/eV per cell) = 6.827
- E above lowest polymorph (kJ/mol of atoms) = 89.0
- VASP energy (eV/atom) = -4.647

```
5
Lattice="4.7612 0.0000 0.0000 0.0000 4.7612 0.0000 0.0000 0.0000 4.7612" Properties=species:S:1:pos:R:3 pbc="T T T"
Tc 0.0000 0.0000 0.0000
Pd 0.0000 0.0000 2.3806
Pd 0.0000 2.3806 0.0000
Pd 2.3806 0.0000 0.0000
S 2.3806 2.3806 2.3806
```

***

Compound: KMg6Cu
Source: the Alexandria database
Functional: PBE
Structure: relaxed

- D(E_F) (states/eV per cell) = 4.311
- energy relative to the elements (kJ per mole of atoms) = 19
- E above lowest polymorph (kJ/mol of atoms) = 1.4
- VASP energy (eV/atom) = -1.649

```
8
Lattice="4.8950 0.0000 0.0000 0.0000 3.1102 6.8636 0.0000 -3.1102 6.8636" Properties=species:S:1:pos:R:3 pbc="T T T"
K 0.0000 0.0000 0.0000
Mg 0.0000 -1.4751 10.0698
Mg 0.0000 1.4751 10.0698
Mg 2.4475 -1.4852 5.1286
Mg 2.4475 0.0000 2.3427
Mg 2.4475 0.0000 8.2521
Mg 2.4475 1.4852 5.1286
Cu 0.0000 0.0000 5.3154
```

***

Compound: CaTa3Ni
Source: the Alexandria database
Functional: PBE
Structure: relaxed

- D(E_F) (states/eV per cell) = 11.181
- energy relative to the elements (kJ per mole of atoms) = 86
- E above lowest polymorph (kJ/mol of atoms) = 0.0
- VASP energy (eV/atom) = -7.778

```
5
Lattice="4.7515 0.0000 0.0000 0.0000 4.7515 0.0000 0.0000 0.0000 4.7515" Properties=species:S:1:pos:R:3 pbc="T T T"
Ca 0.0000 0.0000 0.0000
Ta 0.0000 2.3758 2.3758
Ta 2.3758 0.0000 2.3758
Ta 2.3758 2.3758 0.0000
Ni 2.3758 2.3758 2.3758
```

***

Compound: Ir3AuF
Source: the Alexandria database
Functional: PBE
Structure: relaxed

- D(E_F) (states/eV per cell) = 9.423
- E above lowest polymorph (kJ/mol of atoms) = 0.0
- VASP energy (eV/atom) = -4.973

```
5
Lattice="4.2834 0.0000 0.0000 0.0000 4.2834 0.0000 0.0000 0.0000 4.2834" Properties=species:S:1:pos:R:3 pbc="T T T"
Ir 0.0000 0.0000 2.1417
Ir 0.0000 2.1417 0.0000
Ir 2.1417 0.0000 0.0000
Au 2.1417 2.1417 2.1417
F 0.0000 0.0000 0.0000
```